# CoPt3O8

A relaxed CoPt3O8 crystal (GGA+U, Alexandria).

- M_tot: 1.0 Bohr magnetons per cell
- Theoretical density: 7.90 Mg/m³
- Space-group type: No. 12
- Calculated total energy: -69.0 eV for the cell shown

abc: 6.1878 6.1873 6.0889
angles: 120.98 90.00 120.00
Last column: nearest neighbours and their distance in Å.
Element x y z (fractional)
1 Co 0.0000 0.0000 0.0000  6 O 1.94-1.95
2 Pt 0.5000 0.0000 0.0000  6 O 2.04-2.05
3 Pt 0.5000 0.5000 0.0000  6 O 2.04-2.05
4 Pt 0.0000 0.5000 0.0000  6 O 2.04-2.05
5 O 0.2654 0.5307 0.7987  3 Pt 2.04
6 O 0.7346 0.4693 0.2013  3 Pt 2.04
7 O 0.2554 0.0321 0.8111  1 Co 1.94, 2 Pt 2.05
8 O 0.7766 0.0321 0.8111  1 Co 1.94, 2 Pt 2.05
9 O 0.7765 0.5531 0.8111  1 Co 1.95, 2 Pt 2.05
10 O 0.2235 0.4469 0.1889  1 Co 1.95, 2 Pt 2.05
11 O 0.2234 0.9679 0.1889  1 Co 1.94, 2 Pt 2.05
12 O 0.7446 0.9679 0.1889  1 Co 1.94, 2 Pt 2.05